The following is a PBE+U calculation of Li4Mn5P6WO24 after structural relaxation, from Alexandria.

```
data_Li4Mn5P6WO24
_space_group_name_H-M_alt 'P 1'
_space_group_IT_number 1
_space_group_name_Hall 'P 1'
_cell_length_a 8.463
_cell_length_b 8.645
_cell_length_c 8.748
_cell_angle_alpha 119.20
_cell_angle_beta 90.50
_cell_angle_gamma 116.32
loop_
_atom_site_label
_atom_site_type_symbol
_atom_site_fract_x
_atom_site_fract_y
_atom_site_fract_z
_atom_site_occupancy
Li1 Li 0.000 0.000 0.000 1
Li2 Li 0.013 0.678 0.310 1
Li3 Li 0.058 0.381 0.704 1
Li4 Li 0.575 0.762 0.232 1
Mn1 Mn 0.328 0.882 0.099 1
Mn2 Mn 0.337 0.555 0.444 1
Mn3 Mn 0.740 0.726 0.573 1
Mn4 Mn 0.785 0.202 0.291 1
Mn5 Mn 0.828 0.525 0.922 1
P1 P 0.044 0.677 0.640 1
P2 P 0.070 0.080 0.356 1
P3 P 0.124 0.418 0.061 1
P4 P 0.555 0.338 0.146 1
P5 P 0.563 0.644 0.844 1
P6 P 0.606 0.057 0.556 1
W1 W 0.272 0.146 0.734 1
O1 O 0.042 0.889 0.728 1
O2 O 0.072 0.578 0.073 1
O3 O 0.099 0.992 0.471 1
O4 O 0.112 0.667 0.797 1
O5 O 0.132 0.300 0.857 1
O6 O 0.148 0.006 0.192 1
O7 O 0.156 0.670 0.503 1
O8 O 0.164 0.317 0.488 1
O9 O 0.314 0.550 0.199 1
O10 O 0.386 0.240 0.990 1
O11 O 0.452 0.048 0.653 1
O12 O 0.479 0.409 0.759 1
O13 O 0.492 0.740 0.005 1
O14 O 0.526 0.451 0.334 1
O15 O 0.529 0.688 0.700 1
O16 O 0.550 0.034 0.373 1
O17 O 0.569 0.153 0.121 1
O18 O 0.628 0.870 0.507 1
O19 O 0.733 0.497 0.138 1
O20 O 0.775 0.733 0.904 1
O21 O 0.789 0.261 0.685 1
O22 O 0.840 0.507 0.525 1
O23 O 0.863 0.996 0.288 1
O24 O 0.982 0.260 0.098 1
```

Results
- Electronic total energy: -289.81 eV/cell
- Magnetization: 27.00 Bohr magnetons per cell
- Density of states at the Fermi level: 0.000 states/eV/atom